IrRuBr after structural relaxation, computed with GGA-PBE.

Cell and atoms, written as CIF:
```
data_IrRuBr
_chemical_formula_sum 'Ir1 Ru1 Br1'
_cell_length_a 3.707
_cell_length_b 3.707
_cell_length_c 5.284
_cell_angle_alpha 90.00
_cell_angle_beta 90.00
_cell_angle_gamma 120.00
_space_group_name_H-M_alt 'P 1'
_space_group_IT_number 1
loop_
_space_group_symop_operation_xyz
'x,y,z'
loop_
_atom_site_label
_atom_site_fract_x
_atom_site_fract_y
_atom_site_fract_z
Ru1 0.667 0.333 0.624
Ir1 0.333 0.667 0.421
Br1 0.000 0.000 0.955
```

Values from the calculation:
total moment	0.01	μB per formula unit
DFT total energy	-5.844	eV/atom
energy relative to the elements, uncorrected	759	meV per atom
E above lowest polymorph	0.023	eV per atom